{"formula": "BiMoBrO4", "functional": "PBE+U", "state": "optimized geometry", "lattice": [[-1.9774, -3.0780, -5.4664], [5.1525, -1.1872, -3.9125], [1.6077, -7.0317, 1.1796]], "species": ["Br", "Mo", "Bi", "Mo", "O", "O", "O", "O", "Bi", "Br", "O", "O", "O", "O"], "frac_coords": [[0.9881, 0.9881, 0.7553], [0.6358, 0.6358, 0.7321], [0.2193, 0.2193, 0.8518], [0.3642, 0.3642, 0.2679], [0.6980, 0.6980, 0.4740], [0.4633, 0.4633, 0.8020], [0.4947, 0.1128, 0.1708], [0.8872, 0.5053, 0.8292], [0.7807, 0.7807, 0.1482], [0.0119, 0.0119, 0.2447], [0.1128, 0.4947, 0.1708], [0.3020, 0.3020, 0.5260], [0.5367, 0.5367, 0.1980], [0.5053, 0.8872, 0.8292]], "dft_energy_ev_per_cell": -84.0, "spacegroup": "C2/m", "crystal_system": "monoclinic", "density_g_cm3": 5.27}